[1]
InAsSe2: relaxed, PBE.

POSCAR file:
```
InAsSe2
1.0
3.821 0.000 0.000
0.000 3.848 0.000
0.000 0.000 7.457
In As Se
1 1 2
Cartesian
0.000 0.000 0.000 In
1.911 0.000 3.728 As
0.000 1.924 3.728 Se
1.911 1.924 0.000 Se
```

space-group type: Pmmm (47)
ΔE_f (raw): 0.048 eV/atom
Fermi-level density of states: 2.23 states/eV/f.u.


[2]
ZrFeNi2Os: relaxed, PBE.

POSCAR file:
```
ZrFeNi2Os
1.0
4.256 0.000 0.000
0.000 4.256 0.000
0.000 0.000 4.463
Zr Fe Ni Os
1 1 2 1
Cartesian
0.000 0.000 0.000 Zr
2.128 2.128 2.231 Fe
0.000 2.128 2.231 Ni
2.128 0.000 2.231 Ni
2.128 2.128 0.000 Os
```

formation energy from the elements: 63.3 kJ/mol of atoms
space-group type: P4/mmm (123)
Fermi-level density of states: 5.72 states/eV/f.u.


[3]
Cu4C: relaxed, PBE.

POSCAR file:
```
Cu4C
1.0
3.848 0.000 0.000
0.000 3.848 0.000
0.000 0.000 3.848
Cu C
4 1
Cartesian
0.000 0.000 0.000 Cu
0.000 1.924 1.924 Cu
1.924 0.000 1.924 Cu
1.924 1.924 0.000 Cu
1.924 1.924 1.924 C
```

formation energy from the elements: 38.1 kJ/mol of atoms
space-group type: Pm-3m (221)
energy relative to the lowest polymorph listed for this composition: 0 kJ/mol of formula units
Fermi-level density of states: 2.52 states/eV/f.u.


[4]
Sb3RuBr: relaxed, PBE.

POSCAR file:
```
Sb3RuBr
1.0
5.359 0.000 0.000
0.000 5.359 0.000
0.000 0.000 5.359
Sb Ru Br
3 1 1
Cartesian
0.000 0.000 2.679 Sb
0.000 2.679 0.000 Sb
2.679 0.000 0.000 Sb
2.679 2.679 2.679 Ru
0.000 0.000 0.000 Br
```

space-group type: Pm-3m (221)
ΔE_f (raw): 1.622 eV/atom
energy relative to the lowest polymorph listed for this composition: 633 kJ/mol of formula units
Fermi-level density of states: 5.51 states/eV/f.u.


[5]
NpSiN: relaxed, PBE.

POSCAR file:
```
NpSiN
1.0
3.394 0.000 0.000
0.000 3.394 0.000
0.000 0.000 7.874
Np Si N
2 2 2
Cartesian
0.848 0.848 1.332 Np
2.545 2.545 6.542 Np
0.848 2.545 3.937 Si
2.545 0.848 3.937 Si
0.848 0.848 6.983 N
2.545 2.545 0.891 N
```

space-group type: P4/nmm (129)
ΔE_f (raw): -0.663 eV/atom
energy relative to the lowest polymorph listed for this composition: 0 kJ/mol of formula units
Fermi-level density of states: 5.47 states/eV/f.u.


[6]
ErTmPdAu: relaxed, PBE.

POSCAR file:
```
ErTmPdAu
1.0
0.000 3.516 3.516
3.516 0.000 3.516
3.516 3.516 0.000
Er Tm Pd Au
1 1 1 1
Cartesian
0.000 0.000 0.000 Er
3.516 3.516 3.516 Tm
5.274 5.274 5.274 Pd
1.758 1.758 1.758 Au
```

formation energy from the elements: -86.6 kJ/mol of atoms
space-group type: F-43m (216)
energy relative to the lowest polymorph listed for this composition: 14 kJ/mol of formula units
Fermi-level density of states: 3.31 states/eV/f.u.


| no. | total moment (μB/f.u.) |
| --- | --- |
| 1 | 0.00 |
| 2 | 2.91 |
| 3 | 0.00 |
| 4 | 1.45 |
| 5 | 3.01 |
| 6 | 0.00 |